No. 1
Here is crystalline Ta2TcBiMo at its relaxed geometry from Alexandria via LeMat-Bulk. Energies are from PBE-GGA.

The structure belongs to space group P4/mmm (No. 123); the cell edges are 4.791, 4.791 and 5.019 Å and the angles 90.00°, 90.00° and 90.00°. The asymmetric unit holds Ta at (0.000, 0.500, 0.000), Tc at (0.000, 0.000, 0.000), Bi at (0.000, 0.000, 0.500) and Mo at (0.500, 0.500, 0.500).

The calculation puts the calculated formation energy at 1.631 eV/atom. The total magnetization is 0.000 μB/atom. For the density of states at the Fermi level, the calculation gives 8.77 states/eV per cell. For the calculated density, the calculation gives 11.02 Mg/m³.

***

No. 2
Here is crystalline Pm4TlBiC at its relaxed geometry from Alexandria via LeMat-Bulk. Energies are from PBE-GGA.

The structure belongs to space group Cmcm (No. 63); the cell edges are 7.072, 16.421 and 7.069 Å and the angles 90.00°, 90.00° and 90.00°. The asymmetric unit holds Pm at (0.000, 0.088, 0.250), Pm at (0.000, 0.407, 0.250), Pm at (0.250, 0.250, 0.000), Tl at (0.000, 0.112, 0.750), Bi at (0.000, 0.392, 0.750) and C at (0.000, 0.251, 0.250).

The calculation puts the calculated formation energy at -0.468 eV/atom. The total magnetization is 0.000 μB/atom. For the density of states at the Fermi level, the calculation gives 9.37 states/eV per cell. For the calculated density, the calculation gives 8.14 Mg/m³.

***

No. 3
Here is crystalline NaTl6Pd3 at its relaxed geometry from Alexandria via LeMat-Bulk. Energies are from PBE-GGA.

The structure belongs to space group P2_1/m (No. 11); the cell edges are 11.143, 3.396 and 13.179 Å and the angles 90.00°, 107.12° and 90.00°. The asymmetric unit holds Na at (0.014, 0.250, 0.294), Tl at (0.145, 0.750, 0.134), Tl at (0.165, 0.250, 0.917), Tl at (0.227, 0.750, 0.455), Tl at (0.271, 0.750, 0.724), Tl at (0.421, 0.250, 0.139), Tl at (0.481, 0.250, 0.612), Pd at (0.096, 0.250, 0.562), Pd at (0.300, 0.250, 0.306) and Pd at (0.385, 0.750, 0.955).

The calculation puts the calculated formation energy at -0.089 eV/atom. The total magnetization is 0.000 μB/atom. For the density of states at the Fermi level, the calculation gives 6.30 states/eV per cell. For the calculated density, the calculation gives 10.93 Mg/m³.

***

No. 4
Here is crystalline LaZn2Tc at its relaxed geometry from Alexandria via LeMat-Bulk. Energies are from PBE-GGA.

The structure belongs to space group P2/m (No. 10); the cell edges are 3.069, 4.631 and 5.492 Å and the angles 90.00°, 103.34° and 90.00°. The asymmetric unit holds La at (0.000, 0.000, 0.000), Zn at (0.387, 0.500, 0.703) and Tc at (0.000, 0.000, 0.500).

The calculation puts the calculated formation energy at 0.055 eV/atom. The polymorph energy (0 for the lowest one) comes out at 63 meV per atom. The total magnetization is 0.000 μB/atom. For the density of states at the Fermi level, the calculation gives 2.23 states/eV per cell. For the calculated density, the calculation gives 8.04 Mg/m³.

***

No. 5
Here is crystalline Ba3HgRu at its relaxed geometry from Alexandria via LeMat-Bulk. Energies are from PBE-GGA.

The structure belongs to space group Pm-3m (No. 221); the cell edges are 5.912, 5.912 and 5.912 Å and the angles 90.00°, 90.00° and 90.00°. The asymmetric unit holds Ba at (0.000, 0.000, 0.500), Hg at (0.500, 0.500, 0.500) and Ru at (0.000, 0.000, 0.000).

The calculation puts the calculated formation energy at 0.076 eV/atom. The polymorph energy (0 for the lowest one) comes out at 0 meV per atom. The total magnetization is 0.000 μB/atom. For the density of states at the Fermi level, the calculation gives 3.52 states/eV per cell. For the calculated density, the calculation gives 5.74 Mg/m³.

***

No. 6
Here is crystalline BeIn2PtCl at its relaxed geometry from Alexandria via LeMat-Bulk. Energies are from PBE-GGA.

The structure belongs to space group P4/mmm (No. 123); the cell edges are 5.387, 5.387 and 4.392 Å and the angles 90.00°, 90.00° and 90.00°. The asymmetric unit holds Be at (0.000, 0.000, 0.000), In at (0.000, 0.500, 0.500), Pt at (0.000, 0.000, 0.500) and Cl at (0.500, 0.500, 0.000).

For the formation energy from raw total energies, the calculation gives -0.3711 eV per atom. The total magnetization is 0.000 μB/atom. For the density of states at the Fermi level, the calculation gives 1.52 states/eV per cell. For the calculated density, the calculation gives 6.11 Mg/m³.

***

Question: Among the records above, which one has the highest calculated density?
Answer: Ta2TcBiMo